(1)
This record from the Alexandria database describes a relaxed structure of Pr3PdPt8. The functional is PBE-GGA.

Unit cell a=5.4771 b=5.4771 c=26.7889 alpha=90.00 beta=90.00 gamma=120.00
Space group R3m (No. 160, hexagonal axes)
Symmetry-distinct sites (fractional):
1 Pr 0.0000 0.0000 0.0000
2 Pr 0.0000 0.0000 0.1306
3 Pr 0.0000 0.0000 0.5203
4 Pd 0.0000 0.0000 0.6410
5 Pt 0.0000 0.0000 0.3197
6 Pt 0.0000 0.0000 0.8201
7 Pt 0.1670 0.3340 0.4032
8 Pt 0.1680 0.3361 0.9033

Summary:
Formation enthalpy at 0 K in kJ per mole of atoms: -86.3

=====

(2)
This record from the Alexandria database describes a relaxed structure of Pr2Pd4Pt3. The functional is PBE-GGA.

Unit cell a=5.2962 b=9.3884 c=13.7997 alpha=90.00 beta=90.00 gamma=90.00
Space group Fmmm (No. 69)
Symmetry-distinct sites (fractional):
1 Pr 0.0000 0.0000 0.1351
2 Pd 0.0000 0.1656 0.3286
3 Pt 0.0000 0.0000 0.5000
4 Pt 0.2500 0.2500 0.0000

Summary:
Formation enthalpy at 0 K in kJ per mole of atoms: -71.9

=====

(3)
This record from the Alexandria database describes a relaxed structure of PrPd2Pt2. The functional is PBE-GGA.

Unit cell a=3.9633 b=3.9633 c=25.1356 alpha=90.00 beta=90.00 gamma=90.00
Space group I4/mmm (No. 139)
Symmetry-distinct sites (fractional):
1 Pr 0.0000 0.0000 0.1240
2 Pd 0.0000 0.0000 0.3238
3 Pd 0.0000 0.5000 0.0000
4 Pt 0.0000 0.0000 0.4264
5 Pt 0.0000 0.5000 0.2500

Summary:
Formation enthalpy at 0 K in kJ per mole of atoms: -48.5

=====

Number 1: volume 232.0 Å³/f.u.. Number 2: volume 171.5 Å³/f.u.. Number 3: volume 98.7 Å³/f.u..